Compound: Tb2Pr4Dy3
Source: the Alexandria database
Functional: PBE
Structure: optimized geometry

## Properties
Calculated formation energy   0.04 eV/atom
Total DFT energy (no corrections)   -83.6 eV/cell
Energy relative to the lowest polymorph listed for this composition   0.000 eV/atom
Theoretical density   7.5 g/cm3
Space group   P-1, No. 2
Calculated volume   607.6 Å³ per cell

Cell: 7.1500 8.5925 11.6063 Å, 74.35 62.74 78.16°
Atoms (fractional coordinates):
Pr 0.0929 0.8279 0.2648
Pr 0.3355 0.8349 0.6086
Pr 0.6645 0.1651 0.3914
Pr 0.9071 0.1721 0.7352
Pr 0.0103 0.4754 0.1643
Pr 0.4207 0.1635 0.0554
Pr 0.9897 0.5246 0.8357
Pr 0.5793 0.8365 0.9446
Tb 0.8326 0.8348 0.6090
Tb 0.5103 0.4759 0.1633
Tb 0.1674 0.1652 0.3910
Tb 0.4897 0.5241 0.8367
Dy 0.9183 0.1634 0.0561
Dy 0.0817 0.8366 0.9439
Dy 0.4003 0.1755 0.7385
Dy 0.2515 0.5007 0.4984
Dy 0.5997 0.8245 0.2615
Dy 0.7485 0.4993 0.5016

Compound: TcBCl2
Source: the Alexandria database
Functional: PBE
Structure: optimized geometry

## Properties
Total DFT energy (no corrections)   -16.5 eV/cell
Energy relative to the lowest polymorph listed for this composition   0.000 eV/atom
Theoretical density   4.0 g/cm3
ΔE_f (raw)   1.0579 eV per atom
Space group   R-3m, No. 166
Calculated volume   75.1 Å³ per cell

Cell: 10.1230 10.1230 10.1230 Å, 16.75 16.75 16.75°
Site moments in Bohr magnetons follow the coordinates.
Atoms (fractional coordinates):
Cl 0.0558 0.0558 0.0558  0.00
Cl 0.9442 0.9442 0.9442  0.00
B 0.0000 0.0000 0.0000  -0.02
Tc 0.5000 0.5000 0.5000  1.44

Compound: Er6Sn3Ru
Source: the Alexandria database
Functional: PBE
Structure: optimized geometry

## Properties
Calculated formation energy   -0.47 eV/atom
Total DFT energy (no corrections)   -106.8 eV/cell
Theoretical density   8.8 g/cm3
Space group   P2_1/c, No. 14
Calculated volume   551.7 Å³ per cell

Cell: 6.0299 8.6151 10.6284 Å, 90.00 87.86 90.00°
Atoms (fractional coordinates):
Sn 0.8951 0.3885 0.7638
Sn 0.0000 0.0000 0.5000
Sn 0.6049 0.8885 0.7362
Sn 0.1049 0.6115 0.2362
Sn 0.3951 0.1115 0.2638
Sn 0.5000 0.5000 0.0000
Er 0.6336 0.4495 0.2666
Er 0.9034 0.6996 0.9369
Er 0.8664 0.9495 0.2334
Er 0.3664 0.5505 0.7334
Er 0.8835 0.6573 0.5587
Er 0.5966 0.1996 0.5631
Er 0.6165 0.1573 0.9413
Er 0.4034 0.8004 0.4369
Er 0.0966 0.3004 0.0631
Er 0.3835 0.8427 0.0587
Er 0.1336 0.0505 0.7666
Er 0.1165 0.3427 0.4413
Ru 0.0000 0.0000 0.0000
Ru 0.5000 0.5000 0.5000

Compound: Al3Se
Source: the Alexandria database
Functional: PBE
Structure: optimized geometry

## Properties
Total DFT energy (no corrections)   -14.6 eV/cell
Theoretical density   3.7 g/cm3
ΔE_f (raw)   0.0179 eV per atom
Space group   P4/mmm, No. 123
Calculated volume   72.6 Å³ per cell

Cell: 3.3011 3.3011 6.6582 Å, 90.00 90.00 90.01°
Atoms (fractional coordinates):
Al 0.0000 0.0000 0.0079
Al 0.0000 0.0000 0.4921
Al 0.5000 0.5000 0.7500
Se 0.5000 0.5000 0.2500

Compound: ErPaP
Source: the Alexandria database
Functional: PBE
Structure: optimized geometry

## Properties
Calculated formation energy   -0.64 eV/atom
Total DFT energy (no corrections)   -21.4 eV/cell
Energy relative to the lowest polymorph listed for this composition   0.000 eV/atom
Theoretical density   9.3 g/cm3
Space group   P3m1, No. 156
Calculated volume   76.8 Å³ per cell

Cell: 6.4446 3.7101 3.7101 Å, 120.00 90.00 90.00°
Site moments in Bohr magnetons follow the coordinates.
Atoms (fractional coordinates):
P 0.9976 0.0000 0.0000  0.00
Er 0.7366 0.6667 0.3333  0.23
Pa 0.2658 0.3333 0.6667  0.65

Compound: TiCrAgS4
Source: the Alexandria database
Functional: PBE
Structure: optimized geometry

## Properties
Total DFT energy (no corrections)   -165.4 eV/cell
Energy relative to the lowest polymorph listed for this composition   0.184 eV/atom
Theoretical density   3.6 g/cm3
ΔE_f (raw)   -0.6371 eV per atom
Space group   P1, No. 1
Calculated volume   625.8 Å³ per cell

Cell: 6.4840 7.5708 12.9400 Å, 98.68 94.59 90.32°
Site moments in Bohr magnetons follow the coordinates.
Atoms (fractional coordinates):
Cr 0.6325 0.4520 0.2799  2.44
Cr 0.3658 0.0453 0.7113  2.94
Cr 0.6422 0.9548 0.2900  2.91
Cr 0.8411 0.2929 0.7204  2.41
S 0.7574 0.2306 0.3580  -0.14
S 0.6713 0.0512 0.6437  -0.15
S 0.8149 0.7117 0.3422  -0.09
S 0.2321 0.7723 0.6285  -0.05
S 0.1362 0.6779 0.1108  -0.03
S 0.4261 0.0737 0.8905  -0.08
S 0.1660 0.2773 0.6615  -0.09
S 0.3438 0.9488 0.3719  -0.06
S 0.6317 0.3933 0.1091  -0.11
S 0.6779 0.5099 0.6482  -0.05
S 0.8710 0.3344 0.8923  -0.09
S 0.5816 0.9391 0.1109  -0.07
S 0.0866 0.1393 0.1048  -0.03
S 0.9201 0.8700 0.8942  -0.03
S 0.3723 0.6189 0.8901  -0.03
S 0.3179 0.4660 0.3416  -0.06
Ag 0.2565 0.3655 0.0003  -0.04
Ag 0.7484 0.6443 0.9998  -0.03
Ag 0.1103 0.1714 0.3057  -0.01
Ag 0.8823 0.7952 0.6941  -0.01
Ti 0.2364 0.9038 0.9990  0.25
Ti 0.1541 0.7075 0.2872  0.34
Ti 0.7650 0.1055 0.0006  0.38
Ti 0.3586 0.5476 0.7133  0.35

Compound: LiRePb2
Source: the Alexandria database
Functional: PBE
Structure: optimized geometry

## Properties
Calculated formation energy   0.48 eV/atom
Total DFT energy (no corrections)   -19.8 eV/cell
Energy relative to the lowest polymorph listed for this composition   0.017 eV/atom
Theoretical density   11.7 g/cm3
Space group   P4/mmm, No. 123
Calculated volume   86.4 Å³ per cell

Cell: 3.3738 3.3738 7.5870 Å, 90.00 90.00 90.00°
Atoms (fractional coordinates):
Li 0.5000 0.5000 0.7500
Re 0.5000 0.5000 0.2500
Pb 0.0000 0.0000 0.4756
Pb 0.0000 0.0000 0.0244

Compound: BeTl2Cr
Source: the Alexandria database
Functional: PBE
Structure: optimized geometry

## Properties
Calculated formation energy   0.74 eV/atom
Total DFT energy (no corrections)   -15.1 eV/cell
Energy relative to the lowest polymorph listed for this composition   0.213 eV/atom
Theoretical density   9.8 g/cm3
Space group   Cmmm, No. 65
Calculated volume   80.0 Å³ per cell

Cell: 3.4852 3.4852 6.6943 Å, 90.00 90.00 100.46°
Site moments in Bohr magnetons follow the coordinates.
Atoms (fractional coordinates):
Tl 0.0000 0.0000 0.0170  -0.03
Tl 0.0000 0.0000 0.4830  -0.03
Be 0.5000 0.5000 0.2500  -0.03
Cr 0.5000 0.5000 0.7500  3.70